Record 1
DFT (GGA-PBE) results for crystalline Dy2YEr2Lu2Ni2S2 at its relaxed geometry.

Unit cell a=8.8288 b=8.8288 c=8.8288 alpha=155.51 beta=67.69 gamma=118.00
Fractional coordinates of all 11 atoms:
1 Dy 0.0152 0.8947 0.1206
2 Dy 0.7741 0.8947 0.8794
3 Er 0.1008 0.7376 0.3632
4 Er 0.3744 0.7376 0.6368
5 Lu 0.4174 0.1006 0.3168
6 Lu 0.7838 0.1006 0.6832
7 Ni 0.6442 0.4063 0.2379
8 Ni 0.1684 0.4063 0.7621
9 S 0.1474 0.1474 0.0000
10 S 0.7347 0.2347 0.5000
11 Y 0.4856 0.4856 0.0000

Record 2
DFT (GGA-PBE) results for crystalline Dy3Er2Lu2Ni2Se2 at its relaxed geometry.

Unit cell a=8.9814 b=8.9814 c=8.9814 alpha=155.75 beta=67.67 gamma=117.91
Fractional coordinates of all 11 atoms:
1 Dy 0.9957 0.9957 0.0000
2 Dy 0.7070 0.5808 0.1262
3 Dy 0.4545 0.5808 0.8738
4 Er 0.0933 0.7346 0.3588
5 Er 0.3758 0.7346 0.6412
6 Lu 0.6933 0.3765 0.3168
7 Lu 0.0597 0.3765 0.6832
8 Ni 0.3047 0.0687 0.2360
9 Ni 0.8326 0.0687 0.7640
10 Se 0.3325 0.3325 0.0000
11 Se 0.7389 0.2389 0.5000

Record 3
DFT (GGA-PBE) results for crystalline DyY2Er2Lu2Ni2Se2 at its relaxed geometry.

Unit cell a=9.0197 b=9.0197 c=9.0197 alpha=155.72 beta=67.49 gamma=118.12
Fractional coordinates of all 11 atoms:
1 Dy 0.4817 0.4817 0.0000
2 Er 0.0204 0.8942 0.1262
3 Er 0.7680 0.8942 0.8738
4 Lu 0.4162 0.0990 0.3172
5 Lu 0.7819 0.0990 0.6828
6 Ni 0.6486 0.4091 0.2395
7 Ni 0.1695 0.4091 0.7605
8 Se 0.1412 0.1412 0.0000
9 Se 0.7396 0.2396 0.5000
10 Y 0.0978 0.7395 0.3583
11 Y 0.3812 0.7395 0.6417

Record 4
DFT (GGA-PBE) results for crystalline Dy2Er3Lu2Ni2Te2 at its relaxed geometry.

Unit cell a=9.2591 b=9.2591 c=9.2591 alpha=156.28 beta=67.12 gamma=118.25
Fractional coordinates of all 11 atoms:
1 Dy 0.6922 0.3776 0.3146
2 Dy 0.0629 0.3776 0.6854
3 Er 0.0008 0.0008 0.0000
4 Er 0.7143 0.5809 0.1334
5 Er 0.4475 0.5809 0.8666
6 Lu 0.0821 0.7278 0.3544
7 Lu 0.3734 0.7278 0.6456
8 Ni 0.3076 0.0722 0.2354
9 Ni 0.8368 0.0722 0.7646
10 Te 0.3371 0.3371 0.0000
11 Te 0.7334 0.2334 0.5000

Values from the calculation:
Polymorph energy (0 for the lowest one) ... 0.017 eV/atom

In order of appearance, calculated total energy = -62.8 -59.2 -62.9 -56.7 eV/cell.